DFT (GGA-PBE) results for a relaxed structure of TmMn2Pt9.

Computed properties:
**Space group**: No. 123
**ρ**: 17.77 Mg/m³
**Total energy**: -7.016 eV/atom
**D(E_F)**: 12.52 states/eV/cell

The structure in POSCAR format:
```
TmMn2Pt9
1.0
3.9926 0.0000 0.0000
0.0000 3.9926 0.0000
0.0000 0.0000 11.9251
Tm Mn Pt
1 2 9
Direct
0.0000 0.0000 0.0000 Tm
0.0000 0.0000 0.3386 Mn
0.0000 0.0000 0.6614 Mn
0.0000 0.5000 0.1770 Pt
0.0000 0.5000 0.5000 Pt
0.0000 0.5000 0.8230 Pt
0.5000 0.0000 0.1770 Pt
0.5000 0.0000 0.5000 Pt
0.5000 0.0000 0.8230 Pt
0.5000 0.5000 0.0000 Pt
0.5000 0.5000 0.3380 Pt
0.5000 0.5000 0.6620 Pt
```